Here is a relaxed ZnSi2Br crystal from Alexandria via LeMat-Bulk. Energies are from GGA-PBEsol.

Cell lengths 2.9735, 4.7564, 4.9651 Å; angles 90.00, 90.00, 90.00 degrees
Closest atoms and distances in Å follow each position.
Fractional positions:
Zn 0.0000 0.0000 0.0000  4 Si 2.80, 4 Br 2.89, 2 Zn 2.97
Si 0.0000 0.5000 0.5000  4 Br 2.80, 6 Si 2.89-2.97
Si 0.5000 0.5000 0.0000  4 Zn 2.80, 6 Si 2.89-2.97
Br 0.5000 0.0000 0.5000  4 Si 2.80, 4 Zn 2.89, 2 Br 2.97

Properties
Calculated volume   17.6 A^3/atom
Space-group type   Pmmm, No. 47
Final energy   -3.295 eV per atom
Density of states at the Fermi level   1.27 states/eV/f.u.
Magnetic moment   0.00 μB/f.u.

---

Here is a relaxed Y2SiAu crystal from Alexandria via LeMat-Bulk. Energies are from GGA-PBEsol.

Cell lengths 6.6017, 6.6017, 6.6017 Å; angles 37.51, 37.51, 37.51 degrees
Closest atoms and distances in Å follow each position.
Fractional positions:
Y 0.0000 0.0000 0.0000  3 Si 2.87
Y 0.1956 0.1956 0.1956  3 Au 2.87
Si 0.4141 0.4141 0.4141  3 Au 2.53
Au 0.7806 0.7806 0.7806  3 Si 2.53

Properties
Calculated volume   23.9 A^3/atom
Space-group type   R3m, No. 160
Final energy   -6.426 eV per atom
Density of states at the Fermi level   3.60 states/eV/f.u.
Magnetic moment   0.00 μB/f.u.

---

Here is a relaxed Be3InPd crystal from Alexandria via LeMat-Bulk. Energies are from GGA-PBEsol.

Cell lengths 4.3649, 4.3649, 4.3649 Å; angles 90.00, 90.00, 90.00 degrees
Closest atoms and distances in Å follow each position.
Fractional positions:
Be 0.0000 0.0000 0.5000  2 In 2.18
Be 0.0000 0.5000 0.0000  2 In 2.18
Be 0.5000 0.0000 0.0000  2 In 2.18
In 0.0000 0.0000 0.0000  6 Be 2.18
Pd 0.5000 0.5000 0.5000  12 Be 3.09

Properties
Calculated volume   16.6 A^3/atom
Space-group type   Pm-3m, No. 221
Energy relative to the elements   570 kJ/mol of formula units
Final energy   -3.007 eV per atom
Density of states at the Fermi level   1.04 states/eV/f.u.
Magnetic moment   0.00 μB/f.u.

---

Here is a relaxed CsZr6MnCl14 crystal from Alexandria via LeMat-Bulk. Energies are from GGA-PBEsol.

Cell lengths 9.6430, 9.6430, 11.8269 Å; angles 90.00, 90.00, 83.48 degrees
Closest atoms and distances in Å follow each position.
Fractional positions:
Cs 0.0000 0.0000 0.0000  12 Cl 3.57-3.73
Cs 0.5000 0.5000 0.5000  12 Cl 3.57-3.73
Zr 0.0456 0.1959 0.6172  1 Mn 2.42, 5 Cl 2.53-2.64
Zr 0.1510 0.8490 0.6142  1 Mn 2.36, 4 Cl 2.55
Zr 0.1959 0.0456 0.3828  1 Mn 2.42, 5 Cl 2.53-2.64
Zr 0.3041 0.4544 0.8828  1 Mn 2.42, 5 Cl 2.53-2.64
Zr 0.3490 0.6510 0.1142  1 Mn 2.36, 4 Cl 2.55
Zr 0.4544 0.3041 0.1172  1 Mn 2.42, 5 Cl 2.53-2.64
Zr 0.5456 0.6959 0.8828  1 Mn 2.42, 5 Cl 2.53-2.64
Zr 0.6510 0.3490 0.8858  1 Mn 2.36, 4 Cl 2.55
Zr 0.6959 0.5456 0.1172  1 Mn 2.42, 5 Cl 2.53-2.64
Zr 0.8041 0.9544 0.6172  1 Mn 2.42, 5 Cl 2.53-2.64
Zr 0.8490 0.1510 0.3858  1 Mn 2.36, 4 Cl 2.55
Zr 0.9544 0.8041 0.3828  1 Mn 2.42, 5 Cl 2.53-2.64
Mn 0.0000 0.0000 0.5000  6 Zr 2.36-2.42
Mn 0.5000 0.5000 0.0000  6 Zr 2.36-2.42
Cl 0.0405 0.2058 0.2501  2 Zr 2.55-2.56
Cl 0.0944 0.4056 0.7500  2 Zr 2.64
Cl 0.1218 0.6325 0.4964  2 Zr 2.55-2.56
Cl 0.1325 0.6218 0.9964  2 Zr 2.55-2.56
Cl 0.1620 0.8380 0.2455  3 Zr 2.63-2.86
Cl 0.2058 0.0405 0.7499  2 Zr 2.55-2.56
Cl 0.2484 0.2484 0.0000  2 Zr 2.53
Cl 0.2516 0.2516 0.5000  2 Zr 2.53
Cl 0.2942 0.4595 0.2499  2 Zr 2.55-2.56
Cl 0.3380 0.6620 0.7455  3 Zr 2.63-2.86
Cl 0.3675 0.8782 0.4964  2 Zr 2.55-2.56
Cl 0.3782 0.8675 0.9964  2 Zr 2.55-2.56
Cl 0.4056 0.0944 0.2500  2 Zr 2.64
Cl 0.4595 0.2942 0.7501  2 Zr 2.55-2.56
Cl 0.5405 0.7058 0.2499  2 Zr 2.55-2.56
Cl 0.5944 0.9056 0.7500  2 Zr 2.64
Cl 0.6218 0.1325 0.0036  2 Zr 2.55-2.56
Cl 0.6325 0.1218 0.5036  2 Zr 2.55-2.56
Cl 0.6620 0.3380 0.2545  3 Zr 2.63-2.86
Cl 0.7058 0.5405 0.7501  2 Zr 2.55-2.56
Cl 0.7484 0.7484 0.5000  2 Zr 2.53
Cl 0.7516 0.7516 0.0000  2 Zr 2.53
Cl 0.7942 0.9595 0.2501  2 Zr 2.55-2.56
Cl 0.8380 0.1620 0.7545  3 Zr 2.63-2.86
Cl 0.8675 0.3782 0.0036  2 Zr 2.55-2.56
Cl 0.8782 0.3675 0.5036  2 Zr 2.55-2.56
Cl 0.9056 0.5944 0.2500  2 Zr 2.64
Cl 0.9595 0.7942 0.7499  2 Zr 2.55-2.56

Properties
Calculated volume   24.8 A^3/atom
Space-group type   Cmce, No. 64
Final energy   -5.945 eV per atom
Magnetic moment   0.00 μB/f.u.

---

Here is a relaxed La3AlRh crystal from Alexandria via LeMat-Bulk. Energies are from GGA-PBEsol.

Cell lengths 5.4135, 5.4135, 5.4135 Å; angles 90.00, 90.00, 90.00 degrees
Closest atoms and distances in Å follow each position.
Fractional positions:
La 0.0000 0.0000 0.5000  2 Rh 2.71
La 0.0000 0.5000 0.0000  2 Rh 2.71
La 0.5000 0.0000 0.0000  2 Rh 2.71
Al 0.5000 0.5000 0.5000  12 La 3.83
Rh 0.0000 0.0000 0.0000  6 La 2.71

Properties
Calculated volume   31.7 A^3/atom
Space-group type   Pm-3m, No. 221
Energy relative to the elements   -97 kJ/mol of formula units
Final energy   -5.856 eV per atom
Density of states at the Fermi level   5.47 states/eV/f.u.
Magnetic moment   0.00 μB/f.u.

---

Here is a relaxed LiCaAg2 crystal from Alexandria via LeMat-Bulk. Energies are from GGA-PBEsol.

Cell lengths 4.8781, 4.8781, 4.8781 Å; angles 119.77, 119.77, 90.40 degrees
Closest atoms and distances in Å follow each position.
Fractional positions:
Li 0.0000 0.0000 0.0000  8 Ag 2.99
Ca 0.5000 0.5000 0.0000  8 Ag 2.99
Ag 0.2500 0.7500 0.5000  4 Ca 2.99, 4 Li 2.99
Ag 0.7500 0.2500 0.5000  4 Ca 2.99, 4 Li 2.99

Properties
Calculated volume   20.6 A^3/atom
Space-group type   I4/mmm, No. 139
Energy relative to the elements   -68 kJ/mol of formula units
Final energy   -2.857 eV per atom
Density of states at the Fermi level   1.38 states/eV/f.u.
Magnetic moment   0.00 μB/f.u.

---

Here is a relaxed BaAsBr2Cl crystal from Alexandria via LeMat-Bulk. Energies are from GGA-PBEsol.

Cell lengths 6.1479, 6.1479, 4.4942 Å; angles 90.00, 90.00, 90.00 degrees
Closest atoms and distances in Å follow each position.
Fractional positions:
Ba 0.0000 0.0000 0.0000  8 Br 3.81
As 0.5000 0.5000 0.0000  2 Cl 2.25
Br 0.0000 0.5000 0.5000  2 Cl 3.07
Br 0.5000 0.0000 0.5000  2 Cl 3.07
Cl 0.5000 0.5000 0.5000  2 As 2.25

Properties
Calculated volume   34.0 A^3/atom
Space-group type   P4/mmm, No. 123
Final energy   -3.136 eV per atom
Density of states at the Fermi level   2.53 states/eV/f.u.
Magnetic moment   0.00 μB/f.u.

---

Here is a relaxed Zn5Cu crystal from Alexandria via LeMat-Bulk. Energies are from GGA-PBEsol.

Cell lengths 2.7007, 2.7007, 11.0664 Å; angles 90.00, 90.00, 90.00 degrees
Closest atoms and distances in Å follow each position.
Fractional positions:
Zn 0.0000 0.0000 0.0000  12 Zn 2.70
Zn 0.0000 0.0000 0.3450  4 Cu 2.57, 8 Zn 2.70
Zn 0.0000 0.0000 0.6550  4 Cu 2.57, 8 Zn 2.70
Zn 0.5000 0.5000 0.1725  12 Zn 2.70
Zn 0.5000 0.5000 0.8275  12 Zn 2.70
Cu 0.5000 0.5000 0.5000  8 Zn 2.57, 4 Cu 2.70

Properties
Calculated volume   13.5 A^3/atom
Space-group type   P4/mmm, No. 123
Energy relative to the elements   -5 kJ/mol of formula units
Final energy   -2.049 eV per atom
Density of states at the Fermi level   1.87 states/eV/f.u.
Magnetic moment   0.00 μB/f.u.

---

- Which formula does entry 7 have?
  BaAsBr2Cl

---

- final energy of number 3 (Be3InPd)?
  -3.007 eV per atom